A plane-wave DFT calculation with PBE-GGA was carried out for an optimized crystal structure of ScTa2Ag.

```
data_ScTa2Ag
_cell_length_a 4.236
_cell_length_b 4.236
_cell_length_c 8.412
_cell_angle_alpha 90.00
_cell_angle_beta 90.00
_cell_angle_gamma 90.00
_space_group_name_H-M_alt 'I -4 m 2'
_space_group_IT_number 119
_space_group_name_Hall 'I -4 -2'
loop_
_atom_site_label
_atom_site_fract_x
_atom_site_fract_y
_atom_site_fract_z
Sc1 0.000 0.000 0.000
Ta1 0.000 0.000 0.500
Ta2 0.000 0.500 0.750
Ag1 0.000 0.500 0.250
```

Properties
Raw total energy   -7.9482 eV/atom
Energy above the lowest structure with this stoichiometry   175 meV/atom
Formation energy   26.4 kJ/mol of atoms